# 1
The following is a GGA-PBE calculation of a geometry-optimized Dy2ScAs3 structure, from Alexandria.

```
Dy2ScAs3
1.0
-0.858 -3.948 0.443
3.958 -0.888 -0.245
-0.849 3.214 8.356
Dy Sc As
2 1 3
direct
0.101 0.102 0.207
0.768 0.769 0.541
0.434 0.436 0.874
0.934 0.936 0.874
0.272 0.273 0.549
0.597 0.598 0.199
```

calculated volume = 140.74 Å³/f.u.
formation enthalpy at 0 K = -846.3 kJ/mol of formula units
mass density = 7.02 g cm⁻³
space group = I4/mmm
magnetic moment = 0.0 μB/f.u.



# 2
The following is a GGA-PBE calculation of a geometry-optimized DySc5As4 structure, from Alexandria.

```
DySc5As4
1.0
6.395 0.000 0.000
0.000 8.497 0.000
0.000 0.000 9.324
Dy Sc As
2 10 8
direct
0.824 0.000 0.000
0.176 0.500 0.500
0.255 0.755 0.790
0.255 0.245 0.790
0.777 0.500 0.000
0.255 0.755 0.210
0.255 0.245 0.210
0.745 0.745 0.290
0.745 0.255 0.290
0.223 0.000 0.500
0.745 0.255 0.710
0.745 0.745 0.710
0.998 0.000 0.732
0.537 0.753 0.000
0.537 0.247 0.000
0.998 0.000 0.268
0.002 0.500 0.232
0.463 0.747 0.500
0.463 0.253 0.500
0.002 0.500 0.768
```

calculated volume = 253.32 Å³/f.u.
formation enthalpy at 0 K = -850.8 kJ/mol of formula units
mass density = 4.50 g cm⁻³
space group = Pmmn
magnetic moment = 0.0 μB/f.u.



# 3
The following is a GGA-PBE calculation of a geometry-optimized DySc3As3 structure, from Alexandria.

```
DySc3As3
1.0
-3.297 -7.645 -0.197
3.926 -1.876 7.101
-6.563 2.718 4.347
Dy Sc As
4 12 12
direct
0.067 0.567 0.933
0.933 0.067 0.567
0.433 0.433 0.433
0.567 0.933 0.067
0.816 0.316 0.184
0.929 0.929 0.929
0.821 0.679 0.321
0.184 0.816 0.316
0.179 0.179 0.179
0.321 0.821 0.679
0.071 0.429 0.571
0.316 0.184 0.816
0.679 0.321 0.821
0.684 0.684 0.684
0.571 0.071 0.429
0.429 0.571 0.071
0.742 0.621 0.003
0.879 0.997 0.242
0.003 0.742 0.621
0.121 0.497 0.258
0.258 0.121 0.497
0.242 0.879 0.997
0.997 0.242 0.879
0.379 0.503 0.758
0.497 0.258 0.121
0.621 0.003 0.742
0.758 0.379 0.503
0.503 0.758 0.379
```

calculated volume = 144.40 Å³/f.u.
formation enthalpy at 0 K = -812.1 kJ/mol of formula units
mass density = 6.00 g cm⁻³
space group = P2_13
energy above the most stable polymorph in this dataset = 0.0 meV per atom
magnetic moment = 0.0 μB/f.u.



# 4
The following is a GGA-PBE calculation of a geometry-optimized DyScAs2 structure, from Alexandria.

```
DyScAs2
1.0
-2.301 0.895 3.156
-0.950 -3.096 -2.360
5.442 -3.519 2.419
Dy Sc As
1 1 2
direct
0.000 0.500 0.500
0.000 0.000 0.000
0.510 0.255 0.765
0.490 0.745 0.235
```

calculated volume = 90.60 Å³/f.u.
formation enthalpy at 0 K = -557.5 kJ/mol of formula units
mass density = 6.55 g cm⁻³
space group = R-3m
energy above the most stable polymorph in this dataset = 0.0 meV per atom
magnetic moment = 0.0 μB/f.u.



Number 1: energy -6.38 eV per atom. Number 2: energy -6.37 eV per atom. Number 3: energy -6.57 eV per atom. Number 4: energy -6.50 eV per atom.